#1
A relaxed CaErP2 crystal, computed with GGA-PBE.

Cell: 3.9913 3.9913 7.3003 Å, 74.14 74.14 60.00°
Closest atoms and distances in Å follow each position.
Element x y z (fractional)
Ca (0.4966, 0.4966, 0.5103)  6 P 2.92-3.02
Er (0.6694, 0.6694, 0.9918)  6 P 2.78-2.83
P (0.0772, 0.0772, 0.7685)  3 Er 2.78, 3 Ca 2.92
P (0.2569, 0.2569, 0.2294)  3 Er 2.83, 3 Ca 3.02

The value obtained for the calculated volume is 23.892 Å³/atom.



#2
A relaxed CaErP2 crystal, computed with GGA-PBE.

Cell: 4.0025 4.0025 7.1559 Å, 73.76 73.76 60.00°
Closest atoms and distances in Å follow each position.
Element x y z (fractional)
P (0.2555, 0.2555, 0.2336)  3 Er 2.80, 3 Ca 2.93
P (0.7445, 0.7445, 0.7664)  3 Er 2.80, 3 Ca 2.93
Ca (0.5000, 0.5000, 0.5000)  6 P 2.93
Er (0.0000, 0.0000, 0.0000)  6 P 2.80

The value obtained for the calculated volume is 23.490 Å³/atom.



Unit: meV/atom. Relative energies: #1 70; #2 0.



#1
A relaxed Ca2ErPb crystal, computed with GGA-PBE.

Cell: 5.1352 4.9061 4.9061 Å, 90.00 90.00 90.00°
Closest atoms and distances in Å follow each position.
Element x y z (fractional)
Pb (0.5000, 0.5000, 0.5000)  4 Er 3.47, 8 Ca 3.55
Ca (0.0000, 0.0000, 0.5000)  4 Ca 3.47, 4 Pb 3.55, 4 Er 3.55
Ca (0.0000, 0.5000, 0.0000)  4 Ca 3.47, 4 Er 3.55, 4 Pb 3.55
Er (0.5000, 0.0000, 0.0000)  4 Pb 3.47, 8 Ca 3.55

The value obtained for the calculated volume is 30.900 Å³/atom.



#2
A relaxed Ca2ErPb crystal, computed with GGA-PBE.

Cell: 3.6289 3.6289 12.6493 Å, 81.75 81.75 60.00°
Closest atoms and distances in Å follow each position.
Element x y z (fractional)
Pb (0.0000, 0.0000, 0.0000)  2 Ca 3.25, 6 Pb 3.63
Ca (0.0869, 0.0869, 0.7393)  1 Pb 3.25, 6 Ca 3.63
Ca (0.9131, 0.9131, 0.2607)  1 Pb 3.25, 6 Ca 3.63
Er (0.5000, 0.5000, 0.5000)  6 Er 3.63, 6 Ca 3.65

The value obtained for the calculated volume is 35.568 Å³/atom.



Unit: meV/atom. Relative energies: #1 0; #2 342.



#1
A relaxed CaErPd2 crystal, computed with GGA-PBE.

Cell: 3.4812 3.4812 7.1309 Å, 90.00 90.00 90.00°
Closest atoms and distances in Å follow each position.
Element x y z (fractional)
Ca (0.5000, 0.5000, 0.5000)  8 Pd 3.15, 4 Ca 3.48
Pd (0.0000, 0.0000, 0.7749)  4 Er 2.94, 4 Ca 3.15, 1 Pd 3.21
Pd (0.0000, 0.0000, 0.2251)  4 Er 2.94, 4 Ca 3.15, 1 Pd 3.21
Er (0.5000, 0.5000, 0.0000)  8 Pd 2.94

The value obtained for the calculated volume is 21.604 Å³/atom.



#2
A relaxed CaErPd2 crystal, computed with GGA-PBE.

Cell: 4.9355 4.9355 4.9355 Å, 60.00 60.00 60.00°
Closest atoms and distances in Å follow each position.
Element x y z (fractional)
Ca (0.5000, 0.5000, 0.5000)  8 Pd 3.02
Pd (0.2500, 0.2500, 0.2500)  4 Ca 3.02, 4 Er 3.02
Pd (0.7500, 0.7500, 0.7500)  4 Ca 3.02, 4 Er 3.02
Er (0.0000, 0.0000, 0.0000)  8 Pd 3.02

The value obtained for the calculated volume is 21.252 Å³/atom.



Unit: meV/atom. Relative energies: #1 0; #2 59.